RbLi2AgAs: optimized geometry, PBE. Values from VASP.

Geometry as Quantum ESPRESSO input:
```
&SYSTEM
  ibrav = 0, nat = 5, ntyp = 4
/
ATOMIC_SPECIES
As 74.92 As.upf
Rb 85.47 Rb.upf
Ag 107.87 Ag.upf
Li 6.94 Li.upf
ATOMIC_POSITIONS angstrom
As 0.000 0.000 0.000
Rb 2.519 2.519 2.678
Ag 0.000 0.000 2.678
Li 0.000 2.519 0.000
Li 2.519 0.000 0.000
CELL_PARAMETERS angstrom
5.037 0.000 0.000
0.000 5.037 0.000
0.000 0.000 5.356
```

Properties
Formation enthalpy at 0 K   -0.24 eV per atom
Electronic total energy   -13.52 eV/cell
SG   P4/mmm